Density functional theory data (GGA+U) for KNpVF6 after structural relaxation.

- Crystal system: orthorhombic
- Volume: 617 Å³/cell
- Calculated total energy: -239.0 eV/cell

CIF file:
```
data_KNpVF6
_chemical_formula_sum 'K4 Np4 V4 F24'
_space_group_name_H-M_alt 'I m m a'
_space_group_IT_number 74
_space_group_name_Hall '-I 2b 2'
_cell_length_a 7.374
_cell_length_b 7.825
_cell_length_c 10.696
_cell_angle_alpha 90.00
_cell_angle_beta 90.00
_cell_angle_gamma 90.00
loop_
_atom_site_label
_atom_site_fract_x
_atom_site_fract_y
_atom_site_fract_z
_atom_site_occupancy
K1 0.000 0.250 0.076 1
Np1 0.000 0.000 0.500 1
V1 0.250 0.250 0.750 1
F1 0.000 0.250 0.383 1
F2 0.000 0.250 0.654 1
F3 0.225 0.055 0.885 1
```